This record from the Alexandria database describes crystalline CeMg4Pd5 at its relaxed geometry. The functional is PBE-GGA.

Unit cell a=3.233 b=3.233 c=16.539 alpha=90.00 beta=90.00 gamma=90.00
Fractional positions:
Ce (0.000, 0.000, 0.000)
Mg (0.000, 0.000, 0.218)
Mg (0.000, 0.000, 0.406)
Mg (0.000, 0.000, 0.594)
Mg (0.000, 0.000, 0.782)
Pd (0.500, 0.500, 0.124)
Pd (0.500, 0.500, 0.312)
Pd (0.500, 0.500, 0.500)
Pd (0.500, 0.500, 0.688)
Pd (0.500, 0.500, 0.876)

Values from the calculation:
- ΔE_f: -0.707 eV per atom
- Density of states at the Fermi level: 0.5944 states/eV/atom

This record from the Alexandria database describes crystalline AlCdBr2 at its relaxed geometry. The functional is PBE-GGA.

Unit cell a=3.826 b=3.826 c=9.585 alpha=90.00 beta=90.00 gamma=122.46
Fractional positions:
Al (0.000, 0.000, 0.000)
Cd (0.500, 0.500, 0.779)
Br (0.000, 0.000, 0.577)
Br (0.500, 0.500, 0.190)

Values from the calculation:
- ΔE_f (raw): -0.350 eV per atom
- Density of states at the Fermi level: 0.1787 states/eV/atom

This record from the Alexandria database describes crystalline SiB3C at its relaxed geometry. The functional is PBE-GGA.

Unit cell a=3.407 b=3.407 c=5.291 alpha=106.70 beta=106.70 gamma=48.79
Fractional positions:
Si (0.000, 0.000, 0.000)
B (0.033, 0.033, 0.603)
B (0.656, 0.656, 0.830)
B (0.728, 0.728, 0.507)
C (0.138, 0.138, 0.367)

Values from the calculation:
- ΔE_f (raw): 0.300 eV per atom
- Density of states at the Fermi level: 0.1221 states/eV/atom

This record from the Alexandria database describes crystalline H4SCl at its relaxed geometry. The functional is PBE-GGA.

Unit cell a=5.448 b=4.869 c=8.669 alpha=90.00 beta=126.93 gamma=90.00
Fractional positions:
H (0.186, 0.073, 0.247)
H (0.186, 0.927, 0.747)
H (0.238, 0.236, 0.490)
H (0.238, 0.764, 0.990)
H (0.762, 0.236, 0.010)
H (0.762, 0.764, 0.510)
H (0.814, 0.073, 0.253)
H (0.814, 0.927, 0.753)
S (0.000, 0.261, 0.250)
S (0.000, 0.739, 0.750)
Cl (0.500, 0.227, 0.750)
Cl (0.500, 0.773, 0.250)

Values from the calculation:
- Density of states at the Fermi level: 0.1001 states/eV/atom
- Total energy: -3.18 eV/atom

> What is the density of states at the Fermi level in the first record?

0.5944 states/eV/atom

> Which value of density of states at the Fermi level does entry 4 give?

0.1001 states/eV/atom

> Which of these has the lowest density of states at the Fermi level?

H4SCl